Entry 1:
This record from Alexandria describes Pr2H6IrRh after structural relaxation. The functional is PBE.

a b c (Å): 5.331 5.331 5.324
angles (deg): 119.75 119.75 90.59
Element x y z (fractional)
Pr (0.750, 0.250, 0.500)
Pr (0.250, 0.750, 0.500)
H (0.757, 0.757, 0.000)
H (0.757, 0.757, 0.514)
H (0.243, 0.244, 0.000)
H (0.758, 0.242, 0.000)
H (0.243, 0.243, 0.486)
H (0.241, 0.759, 0.000)
Ir (0.000, 0.000, 0.000)
Rh (0.500, 0.500, 0.000)

Values from the calculation:
E ... -5.106 eV per atom

---

Entry 2:
This record from Alexandria describes ZnHgOs3 after structural relaxation. The functional is PBE.

a b c (Å): 4.537 4.537 4.537
angles (deg): 90.00 90.00 90.00
Last column: magnetic moment on the atom in μB.
Element x y z (fractional)
Zn (0.000, 0.000, 0.000)  0.03
Os (0.000, 0.500, 0.000)  0.91
Os (0.000, 0.000, 0.500)  0.94
Os (0.500, 0.000, 0.000)  0.83
Hg (0.500, 0.500, 0.500)  0.01

Values from the calculation:
Formation enthalpy at 0 K ... 205.62 kJ per mole of atoms
Energy above the most stable polymorph in this dataset ... 0 meV per atom

---

Entry 3:
This record from Alexandria describes NaBeSn after structural relaxation. The functional is PBE.

a b c (Å): 8.268 3.850 12.220
angles (deg): 90.00 132.81 90.00
Element x y z (fractional)
Na (0.743, 0.000, 0.317)
Na (0.257, 0.000, 0.683)
Na (0.743, 0.500, 0.817)
Na (0.257, 0.500, 0.183)
Sn (0.279, 0.000, 0.974)
Sn (0.721, 0.000, 0.026)
Sn (0.279, 0.500, 0.474)
Sn (0.721, 0.500, 0.526)
Be (0.937, 0.000, 0.708)
Be (0.063, 0.000, 0.292)
Be (0.937, 0.500, 0.208)
Be (0.063, 0.500, 0.792)

Values from the calculation:
Formation enthalpy at 0 K ... 8.75 kJ per mole of atoms
Energy above the most stable polymorph in this dataset ... 62 meV per atom

---

Entry 4:
This record from Alexandria describes InGe2Cl8 after structural relaxation. The functional is PBE.

a b c (Å): 8.373 7.567 7.567
angles (deg): 71.87 69.03 69.03
Last column: magnetic moment on the atom in μB.
Element x y z (fractional)
In (0.000, 0.000, 0.000)  0.00
Ge (0.662, 0.888, 0.888)  0.16
Ge (0.338, 0.112, 0.112)  0.16
Cl (0.179, 0.279, 0.889)  0.04
Cl (0.821, 0.111, 0.721)  0.04
Cl (0.249, 0.809, 0.809)  0.00
Cl (0.751, 0.191, 0.191)  0.00
Cl (0.179, 0.889, 0.279)  0.04
Cl (0.821, 0.721, 0.111)  0.04
Cl (0.753, 0.689, 0.689)  0.11
Cl (0.247, 0.311, 0.311)  0.11

Values from the calculation:
Raw formation energy ... -0.800 eV/atom

---

Entry 5:
This record from Alexandria describes RbLi2PrI6 after structural relaxation. The functional is PBE.

a b c (Å): 8.022 8.017 8.658
angles (deg): 62.40 62.39 60.00
Element x y z (fractional)
Rb (0.798, 0.798, 0.605)
Li (0.513, 0.513, 0.461)
Li (0.004, 0.005, 0.985)
Pr (0.321, 0.321, 0.036)
I (0.607, 0.260, 0.231)
I (0.260, 0.902, 0.231)
I (0.903, 0.607, 0.231)
I (0.327, 0.747, 0.745)
I (0.747, 0.180, 0.745)
I (0.180, 0.327, 0.746)

Values from the calculation:
Raw formation energy ... -1.314 eV/atom

---

Entry 6:
This record from Alexandria describes KBeAsBr2 after structural relaxation. The functional is PBE.

a b c (Å): 6.103 6.103 6.478
angles (deg): 90.00 90.00 90.00
Last column: magnetic moment on the atom in μB.
Element x y z (fractional)
Be (0.500, 0.500, 0.500)  -0.17
As (0.000, 0.000, 0.500)  1.18
K (0.000, 0.000, 0.000)  0.02
Br (0.000, 0.500, 0.000)  -0.11
Br (0.500, 0.000, 0.000)  -0.11

Values from the calculation:
Energy above the most stable polymorph in this dataset ... 1246 meV per atom
Raw formation energy ... 0.806 eV/atom